# 1
Below is a geometry-optimized MgTlHg4 structure, with properties calculated at the PBE-GGA level. Values from VASP.

The structure in Quantum ESPRESSO input format:
```
&SYSTEM
  ibrav = 0, nat = 6, ntyp = 3
/
ATOMIC_SPECIES
Mg 24.30 Mg.upf
Tl 204.38 Tl.upf
Hg 200.59 Hg.upf
ATOMIC_POSITIONS angstrom
Mg -11.1914 -0.2236 0.7226
Tl 0.0000 0.0000 0.0000
Hg -7.9720 -1.2736 1.8827
Hg -8.1757 -0.7874 -1.1214
Hg -8.0986 1.5766 0.8042
Hg -5.5974 -0.1118 0.3614
CELL_PARAMETERS angstrom
-4.7536 -2.3256 3.0454
-5.0070 3.3800 0.8864
-5.1613 -1.3525 -2.9684
```

Results
symmetry = F-43m, No. 216
D(E_F) = 0.413 states/eV/atom
calculated volume = 26.83 Å³/atom
formation enthalpy at 0 K = 1.503 kcal/mol of atoms
offset from the most stable computed form = 131 meV/atom
uncorrected energy = -0.7962 eV per atom

=====

# 2
Below is a geometry-optimized Mg2Tl3Hg5 structure, with properties calculated at the PBE-GGA level. Values from VASP.

The structure in Quantum ESPRESSO input format:
```
&SYSTEM
  ibrav = 0, nat = 20, ntyp = 3
/
ATOMIC_SPECIES
Mg 24.30 Mg.upf
Tl 204.38 Tl.upf
Hg 200.59 Hg.upf
ATOMIC_POSITIONS angstrom
Mg -3.1659 -1.5314 6.4957
Mg -7.4133 -7.8959 1.5945
Mg -3.0502 -3.3506 0.3344
Mg -7.5290 -6.0767 7.7558
Tl -5.2645 -3.4014 8.1005
Tl -5.3148 -6.0259 -0.0103
Tl -2.3943 -1.7427 3.0658
Tl -8.1850 -7.6846 5.0244
Tl 0.0000 0.0000 0.0000
Tl -5.2896 -4.7137 4.0451
Hg -3.1235 -0.4999 -0.2728
Hg -10.4271 -6.3053 7.5330
Hg -8.7078 -7.0155 -0.8651
Hg -4.8428 0.2103 8.1253
Hg -5.6131 -1.6781 4.9175
Hg -7.9375 -5.1272 2.3427
Hg -7.9626 -4.1092 5.6484
Hg -5.5880 -2.6961 1.6118
Hg -3.3038 0.9807 5.0500
Hg -4.9572 -3.0723 -1.8349
CELL_PARAMETERS angstrom
-2.9713 2.6221 -0.8300
-6.9430 -8.7667 -2.8398
-3.6363 -0.6607 10.9300
```

Results
symmetry = P4/mbm, No. 127
D(E_F) = 0.422 states/eV/atom
calculated volume = 26.95 Å³/atom
formation enthalpy at 0 K = -1.001 kcal/mol of atoms
uncorrected energy = -1.2231 eV per atom

=====

# 3
Below is a geometry-optimized Mg7Tl2Hg2 structure, with properties calculated at the PBE-GGA level. Values from VASP.

The structure in Quantum ESPRESSO input format:
```
&SYSTEM
  ibrav = 0, nat = 11, ntyp = 3
/
ATOMIC_SPECIES
Mg 24.30 Mg.upf
Tl 204.38 Tl.upf
Hg 200.59 Hg.upf
ATOMIC_POSITIONS angstrom
Mg -0.6774 2.3094 3.0125
Mg 3.0516 5.5555 -0.4881
Mg 5.4199 5.5533 2.0327
Mg 1.6910 2.3073 5.5333
Mg 0.0000 0.0000 0.0000
Mg 2.3728 6.2812 2.5232
Mg 2.3697 1.5816 2.5221
Tl 3.6729 3.9302 3.9080
Tl 1.0697 3.9326 1.1372
Hg 4.0735 -0.0024 0.9200
Hg 0.6690 7.8652 4.1253
CELL_PARAMETERS angstrom
6.0953 -0.0036 -0.9795
0.0047 7.8671 0.0024
-1.3574 -0.0007 6.0224
```

Results
symmetry = Cmmm, No. 65
D(E_F) = 0.369 states/eV/atom
calculated volume = 25.30 Å³/atom
formation enthalpy at 0 K = -0.484 kcal/mol of atoms
offset from the most stable computed form = 72 meV/atom
uncorrected energy = -1.5208 eV per atom

=====

# 4
Below is a geometry-optimized Mg2Tl2Hg structure, with properties calculated at the PBE-GGA level. Values from VASP.

The structure in Quantum ESPRESSO input format:
```
&SYSTEM
  ibrav = 0, nat = 5, ntyp = 3
/
ATOMIC_SPECIES
Mg 24.30 Mg.upf
Tl 204.38 Tl.upf
Hg 200.59 Hg.upf
ATOMIC_POSITIONS angstrom
Mg -5.7410 2.2090 0.1009
Mg -5.5055 0.7762 -2.6336
Tl -2.9495 1.4767 -1.0277
Tl -8.2971 1.5085 -1.5050
Hg 0.0000 0.0000 0.0000
CELL_PARAMETERS angstrom
-1.8966 3.6857 1.4110
-1.4256 0.8200 -4.0581
-7.9244 -1.5205 0.1143
```

Results
symmetry = I4/mmm, No. 139
D(E_F) = 0.460 states/eV/atom
calculated volume = 28.58 Å³/atom
formation enthalpy at 0 K = 2.933 kcal/mol of atoms
offset from the most stable computed form = 163 meV/atom
uncorrected energy = -1.5175 eV per atom

=====

# 5
Below is a geometry-optimized Mg9Tl2Hg structure, with properties calculated at the PBE-GGA level. Values from VASP.

The structure in Quantum ESPRESSO input format:
```
&SYSTEM
  ibrav = 0, nat = 12, ntyp = 3
/
ATOMIC_SPECIES
Mg 24.30 Mg.upf
Tl 204.38 Tl.upf
Hg 200.59 Hg.upf
ATOMIC_POSITIONS angstrom
Mg -2.9717 0.7448 0.8106
Mg -3.2566 -2.9873 3.1952
Mg -3.5520 -6.8553 5.6666
Mg -1.0828 -0.6612 2.8326
Mg -1.3776 -4.5214 5.2990
Mg -1.6723 -8.3815 7.7655
Mg -2.1646 -2.2059 0.2858
Mg -2.4594 -6.0660 2.7522
Mg -2.7541 -9.9262 5.2186
Tl -0.2855 -3.7393 2.3892
Tl -0.5798 -7.5929 4.8514
Hg 0.0000 0.0000 0.0000
CELL_PARAMETERS angstrom
-1.8899 2.2895 3.3574
-4.0535 -0.7999 -1.7363
-0.8653 -11.3322 7.2407
```

Results
symmetry = P4/mmm, No. 123
D(E_F) = 0.264 states/eV/atom
calculated volume = 22.56 Å³/atom
formation enthalpy at 0 K = -1.784 kcal/mol of atoms
uncorrected energy = -1.6928 eV per atom

=====

# 6
Below is a geometry-optimized MgTl5Hg6 structure, with properties calculated at the PBE-GGA level. Values from VASP.

The structure in Quantum ESPRESSO input format:
```
&SYSTEM
  ibrav = 0, nat = 12, ntyp = 3
/
ATOMIC_SPECIES
Mg 24.30 Mg.upf
Tl 204.38 Tl.upf
Hg 200.59 Hg.upf
ATOMIC_POSITIONS angstrom
Mg 0.0000 0.0000 0.0000
Tl 4.9412 -0.0905 6.2496
Tl 1.7132 1.9668 7.3907
Tl 0.9085 1.1493 3.3922
Tl 5.6440 2.1550 2.1458
Tl 6.4793 3.0703 5.9657
Hg 8.4059 3.5598 3.3875
Hg 7.0008 -0.2761 3.8133
Hg 3.5745 2.3086 4.6408
Hg 4.4198 3.2559 8.4020
Hg 7.8461 0.6713 7.5746
Hg 2.8822 0.7503 0.9042
CELL_PARAMETERS angstrom
8.7989 -0.1362 1.4324
2.4892 4.4463 2.8593
0.1325 -1.3303 7.9237
```

Results
symmetry = C2/m, No. 12
D(E_F) = 0.414 states/eV/atom
calculated volume = 28.38 Å³/atom
formation enthalpy at 0 K = -0.321 kcal/mol of atoms
uncorrected energy = -1.2837 eV per atom

=====

# 7
Below is a geometry-optimized Mg5TlHg2 structure, with properties calculated at the PBE-GGA level. Values from VASP.

The structure in Quantum ESPRESSO input format:
```
&SYSTEM
  ibrav = 0, nat = 16, ntyp = 3
/
ATOMIC_SPECIES
Mg 24.30 Mg.upf
Tl 204.38 Tl.upf
Hg 200.59 Hg.upf
ATOMIC_POSITIONS angstrom
Mg -0.7213 -3.2842 0.0083
Mg -8.1426 -7.1426 5.1118
Mg -2.2984 -6.2328 3.1029
Mg -6.5654 -4.1939 2.0172
Mg -5.6474 -6.0728 6.8455
Mg -2.5570 -1.1893 1.6261
Mg -7.2030 -3.9708 5.1668
Mg -1.0014 -3.2913 3.3048
Mg -4.1022 -3.6311 4.2358
Mg 0.0000 0.0000 0.0000
Tl -5.4787 -1.4807 2.4761
Tl 1.3765 -2.1504 1.7597
Hg -3.2861 -4.1332 1.3147
Hg -5.5778 -6.2935 3.8055
Hg -9.3003 -4.7773 3.1062
Hg 0.4365 -5.6495 2.0140
CELL_PARAMETERS angstrom
-0.6594 -3.1646 -3.3515
2.7529 -4.3007 3.5193
-10.9574 -2.9614 4.9523
```

Results
symmetry = Pbam, No. 55
D(E_F) = 0.287 states/eV/atom
calculated volume = 22.35 Å³/atom
formation enthalpy at 0 K = -3.137 kcal/mol of atoms
uncorrected energy = -1.5039 eV per atom

=====

# 8
Below is a geometry-optimized MgTl3Hg4 structure, with properties calculated at the PBE-GGA level. Values from VASP.

The structure in Quantum ESPRESSO input format:
```
&SYSTEM
  ibrav = 0, nat = 8, ntyp = 3
/
ATOMIC_SPECIES
Mg 24.30 Mg.upf
Tl 204.38 Tl.upf
Hg 200.59 Hg.upf
ATOMIC_POSITIONS angstrom
Mg -1.4150 -0.0958 -1.9423
Tl -2.1086 -4.2550 -1.2320
Tl -2.9227 -9.1373 -0.3981
Tl -3.7368 -14.0195 0.4357
Hg -2.7179 -16.2998 2.7839
Hg -0.2973 -1.7831 0.3045
Hg -1.1073 -6.6404 1.1341
Hg -1.9080 -11.4425 1.9543
CELL_PARAMETERS angstrom
-3.3202 0.4543 -0.5815
0.4901 -0.6459 -3.3032
-3.0152 -18.0830 3.0884
```

Results
symmetry = P4/mmm, No. 123
D(E_F) = 0.406 states/eV/atom
calculated volume = 26.88 Å³/atom
formation enthalpy at 0 K = -1.079 kcal/mol of atoms
uncorrected energy = -1.2844 eV per atom

=====

# 9
Below is a geometry-optimized MgTlHg2 structure, with properties calculated at the PBE-GGA level. Values from VASP.

The structure in Quantum ESPRESSO input format:
```
&SYSTEM
  ibrav = 0, nat = 4, ntyp = 3
/
ATOMIC_SPECIES
Mg 24.30 Mg.upf
Tl 204.38 Tl.upf
Hg 200.59 Hg.upf
ATOMIC_POSITIONS angstrom
Mg -0.6454 7.1898 1.7636
Tl -0.4186 3.3402 0.8149
Hg 0.0283 0.1370 0.0351
Hg -1.5902 10.6786 2.5960
CELL_PARAMETERS angstrom
-2.4486 5.6779 -0.5820
-2.5808 4.7878 2.9980
3.2788 3.7647 1.0570
```

Results
symmetry = Cm, No. 8
D(E_F) = 0.331 states/eV/atom
calculated volume = 25.33 Å³/atom
formation enthalpy at 0 K = -1.227 kcal/mol of atoms
uncorrected energy = -1.1943 eV per atom

=====

# 10
Below is a geometry-optimized Mg2Tl2Hg structure, with properties calculated at the PBE-GGA level. Values from VASP.

The structure in Quantum ESPRESSO input format:
```
&SYSTEM
  ibrav = 0, nat = 5, ntyp = 3
/
ATOMIC_SPECIES
Mg 24.30 Mg.upf
Tl 204.38 Tl.upf
Hg 200.59 Hg.upf
ATOMIC_POSITIONS angstrom
Mg 0.0000 0.0000 8.7835
Mg 0.0000 0.0000 5.9411
Tl 2.1782 0.0000 3.6811
Tl 0.0000 2.1782 3.6811
Hg 0.0000 0.0000 0.0000
CELL_PARAMETERS angstrom
-2.1782 2.1782 7.3623
2.1782 -2.1782 7.3623
2.1782 2.1782 -7.3623
```

Results
symmetry = I4/mmm, No. 139
D(E_F) = 0.454 states/eV/atom
calculated volume = 27.94 Å³/atom
formation enthalpy at 0 K = 2.690 kcal/mol of atoms
offset from the most stable computed form = 153 meV/atom
uncorrected energy = -1.5281 eV per atom

=====

Among the records above, which one has the lowest D(E_F)? Mg9Tl2Hg

=====

Look up the formation enthalpy at 0 K of the third one. -0.484 kcal/mol of atoms